1.
VASP calculation (GGA-PBE) on an optimized crystal structure of NdAlZnGa2.

As for the energy of formation from the pure elements: -0.466 eV per atom.

It has space group I-4m2 (No. 119), with a = 4.206 Å, b = 4.206 Å, c = 11.067 Å, α = 90.00°, β = 90.00° and γ = 90.00°. The inequivalent atoms are Nd at (0.000, 0.000, 0.000), Al at (0.000, 0.500, 0.250), Zn at (0.000, 0.500, 0.750) and Ga at (0.000, 0.000, 0.388).



2.
VASP calculation (GGA-PBE) on an optimized crystal structure of Nb2ReMo6.

As for the energy of formation from the pure elements: 0.264 eV per atom. The calculation puts the polymorph energy (0 for the lowest one) at 23 meV/atom.

It has space group C2/m (No. 12), with a = 13.549 Å, b = 8.376 Å, c = 2.665 Å, α = 90.00°, β = 98.02° and γ = 90.00°. The inequivalent atoms are Nb at (0.163, 0.000, 0.326), Re at (0.000, 0.500, 0.000), Mo at (0.000, 0.178, 0.500) and Mo at (0.166, 0.332, 0.825).



3.
VASP calculation (GGA-PBE) on an optimized crystal structure of CaSmErAl.

As for the energy of formation from the pure elements: -0.051 eV per atom.

It has space group F-43m (No. 216), with a = 7.650 Å, b = 7.650 Å, c = 7.650 Å, α = 90.00°, β = 90.00° and γ = 90.00°. The inequivalent atoms are Ca at (0.000, 0.000, 0.000), Sm at (0.250, 0.250, 0.250), Er at (0.250, 0.250, 0.750) and Al at (0.000, 0.000, 0.500).



4.
VASP calculation (GGA-PBE) on an optimized crystal structure of ZrHgRh3.

As for the energy of formation from the pure elements: 1.223 eV per atom. The calculation puts the polymorph energy (0 for the lowest one) at 446 meV/atom.

It has space group Pm-3m (No. 221), with a = 4.834 Å, b = 4.834 Å, c = 4.834 Å, α = 90.00°, β = 90.00° and γ = 90.00°. The inequivalent atoms are Zr at (0.000, 0.000, 0.000), Hg at (0.500, 0.500, 0.500) and Rh at (0.000, 0.500, 0.500).



5.
VASP calculation (GGA-PBE) on an optimized crystal structure of DyThOsPd.

As for the energy of formation from the pure elements: -0.518 eV per atom.

It has space group F-43m (No. 216), with a = 7.063 Å, b = 7.063 Å, c = 7.063 Å, α = 90.00°, β = 90.00° and γ = 90.00°. The inequivalent atoms are Dy at (0.000, 0.000, 0.000), Th at (0.000, 0.000, 0.500), Os at (0.250, 0.250, 0.750) and Pd at (0.250, 0.250, 0.250).



6.
VASP calculation (GGA-PBE) on an optimized crystal structure of Ta2BH.

The calculation puts the polymorph energy (0 for the lowest one) at 430 meV/atom.

It has space group Fm-3m (No. 225), with a = 5.674 Å, b = 5.674 Å, c = 5.674 Å, α = 90.00°, β = 90.00° and γ = 90.00°. The inequivalent atoms are Ta at (0.250, 0.250, 0.250), B at (0.000, 0.000, 0.000) and H at (0.000, 0.000, 0.500).



7.
VASP calculation (GGA-PBE) on an optimized crystal structure of Mg2AlW.

As for the energy of formation from the pure elements: 0.208 eV per atom.

It has space group R3m (No. 160, hexagonal axes), with a = 2.9557 Å, b = 2.9557 Å, c = 28.7815 Å, α = 90.00°, β = 90.00° and γ = 120.00°. The inequivalent atoms are Mg at (0.0000, 0.0000, 0.0000), Mg at (0.0000, 0.0000, 0.2421), Al at (0.0000, 0.0000, 0.7519) and W at (0.0000, 0.0000, 0.4931).



8.
VASP calculation (GGA-PBE) on an optimized crystal structure of Li8PmMg3.

As for the energy of formation from the pure elements: 0.014 eV per atom.

It has space group P3m1 (No. 156), with a = 5.6436 Å, b = 5.6436 Å, c = 9.1424 Å, α = 90.00°, β = 90.00° and γ = 120.00°. The inequivalent atoms are Li at (0.0000, 0.0000, 0.0000), Li at (0.0000, 0.0000, 0.4914), Li at (0.1728, 0.3456, 0.2611), Li at (0.3381, 0.1690, 0.7422), Pm at (0.6667, 0.3333, 0.0650), Mg at (0.3333, 0.6667, 0.5674), Mg at (0.3333, 0.6667, 0.9318) and Mg at (0.6667, 0.3333, 0.4430).



9.
VASP calculation (GGA-PBE) on an optimized crystal structure of CaPr3Se.

Its total energy is -22.6 eV for the cell shown.

It has space group Pm-3m (No. 221), with a = 5.750 Å, b = 5.750 Å, c = 5.750 Å, α = 90.00°, β = 90.00° and γ = 90.00°. The inequivalent atoms are Ca at (0.000, 0.000, 0.000), Pr at (0.000, 0.500, 0.500) and Se at (0.500, 0.500, 0.500).



10.
VASP calculation (GGA-PBE) on an optimized crystal structure of ScTi2SiAg.

Its total energy is -26.1 eV for the cell shown.

It has space group P4/mmm (No. 123), with a = 4.822 Å, b = 4.822 Å, c = 4.979 Å, α = 90.00°, β = 90.00° and γ = 90.00°. The inequivalent atoms are Sc at (0.000, 0.000, 0.000), Ti at (0.000, 0.500, 0.500), Si at (0.500, 0.500, 0.000) and Ag at (0.000, 0.000, 0.500).



11.
VASP calculation (GGA-PBE) on an optimized crystal structure of TbLuMgHg.

As for the energy of formation from the pure elements: -0.229 eV per atom.

It has space group F-43m (No. 216), with a = 7.432 Å, b = 7.432 Å, c = 7.432 Å, α = 90.00°, β = 90.00° and γ = 90.00°. The inequivalent atoms are Tb at (0.000, 0.000, 0.000), Lu at (0.000, 0.000, 0.500), Mg at (0.250, 0.250, 0.750) and Hg at (0.250, 0.250, 0.250).



12.
VASP calculation (GGA-PBE) on an optimized crystal structure of KCrFe2Ge.

As for the energy of formation from the pure elements: 1.111 eV per atom.

It has space group P4/mmm (No. 123), with a = 4.376 Å, b = 4.376 Å, c = 4.763 Å, α = 90.00°, β = 90.00° and γ = 90.00°. The inequivalent atoms are K at (0.000, 0.000, 0.000), Cr at (0.500, 0.500, 0.500), Fe at (0.000, 0.500, 0.500) and Ge at (0.500, 0.500, 0.000).



13.
VASP calculation (GGA-PBE) on an optimized crystal structure of ZnPtRh2.

As for the energy of formation from the pure elements: -0.195 eV per atom.

It has space group Pmm2 (No. 25), with a = 2.774 Å, b = 3.831 Å, c = 5.461 Å, α = 90.00°, β = 90.00° and γ = 90.00°. The inequivalent atoms are Zn at (0.000, 0.000, 0.000), Pt at (0.500, 0.500, 0.241), Rh at (0.000, 0.000, 0.512) and Rh at (0.500, 0.500, 0.741).



14.
VASP calculation (GGA-PBE) on an optimized crystal structure of LaPmPr5Er2.

As for the energy of formation from the pure elements: 0.145 eV per atom.

It has space group Cmc2_1 (No. 36), with a = 5.774 Å, b = 20.598 Å, c = 10.733 Å, α = 90.00°, β = 90.00° and γ = 90.00°. The inequivalent atoms are La at (0.000, 0.084, 0.000), Pm at (0.000, 0.301, 0.565), Pr at (0.000, 0.023, 0.294), Pr at (0.000, 0.112, 0.580), Pr at (0.000, 0.205, 0.257), Pr at (0.000, 0.219, 0.866), Pr at (0.000, 0.484, 0.578), Er at (0.000, 0.383, 0.876) and Er at (0.000, 0.388, 0.287).



15.
VASP calculation (GGA-PBE) on an optimized crystal structure of YErC.

As for the energy of formation from the pure elements: -0.282 eV per atom. The calculation puts the polymorph energy (0 for the lowest one) at 27 meV/atom.

It has space group P2_1/c (No. 14), with a = 6.202 Å, b = 7.137 Å, c = 6.187 Å, α = 90.00°, β = 91.94° and γ = 90.00°. The inequivalent atoms are Y at (0.221, 0.124, 0.090), Er at (0.213, 0.626, 0.090) and C at (0.000, 0.125, 0.748).



16.
VASP calculation (GGA-PBE) on an optimized crystal structure of AcYCd2In2.

As for the energy of formation from the pure elements: -0.432 eV per atom.

It has space group P-3m1 (No. 164), with a = 4.9640 Å, b = 4.9640 Å, c = 7.8782 Å, α = 90.00°, β = 90.00° and γ = 120.00°. The inequivalent atoms are Ac at (0.0000, 0.0000, 0.0000), Y at (0.0000, 0.0000, 0.5000), Cd at (0.3333, 0.6667, 0.7024) and In at (0.3333, 0.6667, 0.2711).



17.
VASP calculation (GGA-PBE) on an optimized crystal structure of Th4GaNi.

As for the energy of formation from the pure elements: -0.300 eV per atom.

It has space group P4/mcc (No. 124), with a = 7.364 Å, b = 7.364 Å, c = 5.751 Å, α = 90.00°, β = 90.00° and γ = 90.00°. The inequivalent atoms are Th at (0.153, 0.330, 0.000), Ga at (0.500, 0.500, 0.250) and Ni at (0.000, 0.000, 0.250).



18.
VASP calculation (GGA-PBE) on an optimized crystal structure of Hg2BiPb.

As for the energy of formation from the pure elements: 0.042 eV per atom.

It has space group P2_1/m (No. 11), with a = 4.517 Å, b = 4.445 Å, c = 12.456 Å, α = 90.00°, β = 99.19° and γ = 90.00°. The inequivalent atoms are Hg at (0.058, 0.250, 0.107), Hg at (0.436, 0.250, 0.885), Bi at (0.177, 0.750, 0.333) and Pb at (0.290, 0.750, 0.594).



19.
VASP calculation (GGA-PBE) on an optimized crystal structure of RbTl2SnAu2.

As for the energy of formation from the pure elements: -0.159 eV per atom.

It has space group Pmc2_1 (No. 26), with a = 4.997 Å, b = 8.243 Å, c = 8.460 Å, α = 90.00°, β = 90.00° and γ = 90.00°. The inequivalent atoms are Rb at (0.000, 0.091, 0.000), Tl at (0.000, 0.345, 0.658), Tl at (0.500, 0.423, 0.952), Sn at (0.500, 0.191, 0.338), Au at (0.000, 0.342, 0.317) and Au at (0.500, 0.130, 0.679).



Number 1: total magnetization 0.00 μB per formula unit. Number 2: total magnetization 0.00 μB per formula unit. Number 3: total magnetization 0.00 μB per formula unit. Number 4: total magnetization 0.00 μB per formula unit. Number 5: total magnetization 0.00 μB per formula unit. Number 6: total magnetization 0.00 μB per formula unit. Number 7: total magnetization 0.00 μB per formula unit. Number 8: total magnetization 0.00 μB per formula unit. Number 9: total magnetization 0.00 μB per formula unit. Number 10: total magnetization 0.09 μB per formula unit. Number 11: total magnetization 0.02 μB per formula unit. Number 12: total magnetization 0.24 μB per formula unit. Number 13: total magnetization 0.00 μB per formula unit. Number 14: total magnetization 0.00 μB per formula unit. Number 15: total magnetization 0.25 μB per formula unit. Number 16: total magnetization 0.00 μB per formula unit. Number 17: total magnetization 0.00 μB per formula unit. Number 18: total magnetization 0.00 μB per formula unit. Number 19: total magnetization 0.00 μB per formula unit.